A relaxed structure of SrSiBr. Source: Alexandria via LeMat-Bulk, functional GGA-PBE.

Cell lengths 3.804, 4.763, 10.895 Å; angles 90.00, 90.00, 90.00 degrees
Space group Imm2 (No. 44)
One atom of each set of equivalent atoms:
Sr1 0.000 0.000 0.000
Si1 0.000 0.000 0.579
Br1 0.000 0.000 0.344

uncorrected energy = -3.308 eV/atom
uncorrected formation energy = -382 meV/atom

***

A relaxed structure of RbNi3Se2. Source: Alexandria via LeMat-Bulk, functional GGA-PBE.

Cell lengths 14.524, 3.806, 8.919 Å; angles 90.00, 110.73, 90.00 degrees
Space group C2/m (No. 12)
One atom of each set of equivalent atoms:
Rb1 0.142 0.000 0.050
Ni1 0.056 0.000 0.407
Ni2 0.085 0.500 0.618
Ni3 0.186 0.500 0.439
Se1 0.025 0.500 0.242
Se2 0.189 0.000 0.665

uncorrected energy = -4.603 eV/atom
uncorrected formation energy = -390 meV/atom

***

A relaxed structure of Ce6Pt3C. Source: Alexandria via LeMat-Bulk, functional GGA-PBE.

Cell lengths 6.443, 7.506, 12.019 Å; angles 90.00, 122.04, 90.00 degrees
Space group P2_1/c (No. 14)
One atom of each set of equivalent atoms:
Ce1 0.075 0.202 0.433
Ce2 0.262 0.658 0.438
Ce3 0.372 0.048 0.230
Pt1 0.178 0.109 0.740
Pt2 0.500 0.000 0.500
C1 0.000 0.000 0.000

calculated formation energy = -652 meV/atom
uncorrected energy = -6.947 eV/atom

***

A relaxed structure of BaLaOs2. Source: Alexandria via LeMat-Bulk, functional GGA-PBE.

Cell lengths 6.302, 9.702, 3.177 Å; angles 90.00, 113.02, 90.00 degrees
Space group C2/m (No. 12)
One atom of each set of equivalent atoms:
Ba1 0.000 0.000 0.000
La1 0.000 0.500 0.000
Os1 0.250 0.250 0.500

calculated formation energy = 1043 meV/atom
E above lowest polymorph = 949 meV/atom
uncorrected energy = -6.284 eV/atom

***

A relaxed structure of Tb8Sm5Mg. Source: Alexandria via LeMat-Bulk, functional GGA-PBE.

Cell lengths 9.655, 9.655, 9.993 Å; angles 90.00, 90.00, 90.00 degrees
Space group I-4 (No. 82)
One atom of each set of equivalent atoms:
Tb1 0.069 0.173 0.342
Tb2 0.087 0.316 0.004
Sm1 0.000 0.500 0.250
Sm2 0.103 0.289 0.671
Mg1 0.000 0.000 0.000

calculated formation energy = 227 meV/atom
uncorrected energy = -4.218 eV/atom

***

A relaxed structure of Nd6GeAs2Se3. Source: Alexandria via LeMat-Bulk, functional GGA-PBE.

Cell lengths 18.631, 4.267, 8.540 Å; angles 90.00, 103.48, 90.00 degrees
Space group C2/m (No. 12)
One atom of each set of equivalent atoms:
Nd1 0.002 0.000 0.243
Nd2 0.163 0.500 0.087
Nd3 0.169 0.500 0.577
Ge1 0.000 0.500 0.000
As1 0.167 0.000 0.334
Se1 0.000 0.500 0.500
Se2 0.167 0.000 0.833

uncorrected energy = -6.048 eV/atom
uncorrected formation energy = -1633 meV/atom

***

- Which value of uncorrected energy does entry 1 give?
  -3.308 eV/atom